Below is an optimized crystal structure of Ho5ZnGa2, with properties calculated at the GGA-PBE level.

Values from the calculation:
- space-group type = Cmcm, No. 63
- N(E_F) (states/eV per cell) = 20.23
- final energy (eV/atom) = -4.061
- M_tot (μB per cell) = 0.00
- polymorph energy (0 for the lowest one) (kJ/mol of atoms) = 10.3

Structure (CIF):
```
data_Ho5ZnGa2
_cell_length_a 4.961
_cell_length_b 4.964
_cell_length_c 19.857
_cell_angle_alpha 90.00
_cell_angle_beta 90.00
_cell_angle_gamma 119.98
_space_group_name_H-M_alt 'P 1'
_space_group_IT_number 1
loop_
_space_group_symop_operation_xyz
'x,y,z'
loop_
_atom_site_label
_atom_site_fract_x
_atom_site_fract_y
_atom_site_fract_z
Ho1 0.999 0.999 0.843
Ho2 0.332 0.664 0.750
Ho3 0.334 0.668 0.054
Ho4 0.666 0.332 0.554
Ho5 0.001 0.001 0.343
Ho6 0.666 0.332 0.946
Ho7 0.334 0.668 0.446
Ho8 0.999 0.999 0.657
Ho9 0.668 0.336 0.250
Ho10 0.001 0.001 0.157
Zn1 0.665 0.331 0.750
Zn2 0.335 0.669 0.250
Ga1 0.667 0.334 0.098
Ga2 0.667 0.334 0.402
Ga3 0.333 0.666 0.902
Ga4 0.333 0.666 0.598
```